[1]
# GGA-PBE Mn2FeSi, optimized geometry
# V, Å³ per cell: 131.8
# Uncorrected formation energy, eV/f.u.: -0.183
data_Mn2FeSi
_space_group_name_H-M_alt 'R 3 m'
_space_group_IT_number 160
_space_group_name_Hall 'R 3 -2"'
_cell_length_a 2.5543
_cell_length_b 2.5543
_cell_length_c 23.3265
_cell_angle_alpha 90.00
_cell_angle_beta 90.00
_cell_angle_gamma 120.00
loop_
_atom_site_label
_atom_site_type_symbol
_atom_site_fract_x
_atom_site_fract_y
_atom_site_fract_z
_atom_site_occupancy
Mn1 Mn 0.0000 0.0000 0.0000 1
Mn2 Mn 0.0000 0.0000 0.2511 1
Fe1 Fe 0.0000 0.0000 0.4995 1
Si1 Si 0.0000 0.0000 0.7512 1

=====

[2]
# GGA-PBE TaCoW, optimized geometry
# Energy relative to the lowest polymorph listed for this composition, meV/atom: 146
# V, Å³ per cell: 89.3
# Energy of formation, meV/atom: 32
data_TaCoW
_space_group_name_H-M_alt 'I 4 m m'
_space_group_IT_number 107
_space_group_name_Hall 'I 4 -2'
_cell_length_a 2.745
_cell_length_b 2.745
_cell_length_c 11.851
_cell_angle_alpha 90.00
_cell_angle_beta 90.00
_cell_angle_gamma 90.00
loop_
_atom_site_label
_atom_site_type_symbol
_atom_site_fract_x
_atom_site_fract_y
_atom_site_fract_z
_atom_site_occupancy
Ta1 Ta 0.000 0.000 0.000 1
Co1 Co 0.000 0.000 0.341 1
W1 W 0.000 0.000 0.695 1

=====

[3]
# GGA-PBE Ca2Ga2Pb, optimized geometry
# Energy relative to the lowest polymorph listed for this composition, meV/atom: 33
# V, Å³ per cell: 263.6
# Energy of formation, meV/atom: -429
data_Ca2Ga2Pb
_space_group_name_H-M_alt 'P 4/m b m'
_space_group_IT_number 127
_space_group_name_Hall '-P 4 2ab'
_cell_length_a 7.527
_cell_length_b 7.527
_cell_length_c 4.652
_cell_angle_alpha 90.00
_cell_angle_beta 90.00
_cell_angle_gamma 90.00
loop_
_atom_site_label
_atom_site_type_symbol
_atom_site_fract_x
_atom_site_fract_y
_atom_site_fract_z
_atom_site_occupancy
Ca1 Ca 0.176 0.324 0.000 1
Ga1 Ga 0.120 0.620 0.500 1
Pb1 Pb 0.000 0.000 0.500 1